Entry 1:
CoAs4P (PBE, optimized geometry); ΔH_f (0 K) = 0.93 eV/atom; volume = 18.82 Å³/atom; density of states at the Fermi level = 1.505 states/eV/atom
1.0
0.000 3.836 3.836
3.836 0.000 3.836
3.836 3.836 0.000
Co As P
1 4 1
direct
0.000 0.000 0.000 Co
0.375 0.375 0.375 As
0.375 0.375 0.875 As
0.375 0.875 0.375 As
0.875 0.375 0.375 As
0.750 0.750 0.750 P



Entry 2:
Sr2TbPuSe4 (PBE, optimized geometry); volume = 27.66 Å³/atom; formation energy without anion corrections = -1.82 eV per atom; density of states at the Fermi level = 1.679 states/eV/atom
1.0
7.361 0.000 0.000
0.000 4.248 0.000
-2.458 0.000 7.076
Sr Tb Pu Se
2 1 1 4
direct
0.000 0.000 0.000 Sr
0.500 0.500 0.000 Sr
0.000 0.500 0.500 Tb
0.500 0.000 0.500 Pu
0.240 0.000 0.733 Se
0.252 0.500 0.266 Se
0.748 0.500 0.734 Se
0.760 0.000 0.267 Se



Entry 3:
Ac3InGe (PBE, optimized geometry); ΔH_f (0 K) = -0.17 eV/atom; volume = 42.42 Å³/atom; density of states at the Fermi level = 1.089 states/eV/atom; E above lowest polymorph = 289 meV/atom
1.0
3.768 2.176 8.625
-3.768 2.176 8.625
0.000 -4.351 8.625
Ac In Ge
6 2 2
direct
0.036 0.412 0.768 Ac
0.232 0.588 0.964 Ac
0.412 0.768 0.036 Ac
0.588 0.964 0.232 Ac
0.768 0.036 0.412 Ac
0.964 0.232 0.588 Ac
0.165 0.165 0.165 In
0.835 0.835 0.835 In
0.348 0.348 0.348 Ge
0.652 0.652 0.652 Ge



Entry 4:
TbCoRh (PBE, optimized geometry); ΔH_f (0 K) = -0.02 eV/atom; volume = 21.31 Å³/atom; density of states at the Fermi level = 0.767 states/eV/atom
1.0
6.727 0.000 0.000
0.000 6.727 0.000
0.000 0.000 5.652
Tb Co Rh
4 4 4
direct
0.242 0.242 0.000 Tb
0.258 0.742 0.250 Tb
0.742 0.258 0.750 Tb
0.758 0.758 0.500 Tb
0.138 0.862 0.750 Co
0.362 0.362 0.500 Co
0.638 0.638 0.000 Co
0.862 0.138 0.250 Co
0.125 0.125 0.500 Rh
0.375 0.625 0.750 Rh
0.625 0.375 0.250 Rh
0.875 0.875 0.000 Rh



Let's list raw total energy in order: -25.5 -50.8 -41.0 -76.6 eV for the cell shown.